[1]
TlSbC: relaxed, PBE.

## Properties
Relative energy among the computed polymorphs: 0.042 eV/atom
DFT total energy: -4.58 eV/atom
SG: No. 1

Structure (POSCAR):
```
TlSbC
1.0
4.548 0.000 0.000
-2.215 5.949 0.000
-0.046 -1.837 6.126
C Sb Tl
2 2 2
Direct
0.065 0.911 0.223 C
0.785 0.910 0.223 C
0.546 0.155 0.332 Sb
0.563 0.178 0.789 Sb
0.866 0.778 0.719 Tl
0.228 0.507 0.094 Tl
```

=====

[2]
NaCu2TeS: relaxed, PBE.

## Properties
DFT total energy: -3.77 eV/atom
SG: No. 11

Structure (POSCAR):
```
NaCu2TeS
1.0
-2.430 2.879 1.124
-2.769 0.134 -6.330
-4.343 -5.287 4.152
Te Cu S Na
2 4 2 2
Direct
0.750 0.748 0.436 Te
0.250 0.252 0.564 Te
0.750 0.489 0.118 Cu
0.250 0.488 0.356 Cu
0.250 0.511 0.882 Cu
0.750 0.512 0.644 Cu
0.750 0.708 0.930 S
0.250 0.292 0.070 S
0.750 0.072 0.824 Na
0.250 0.928 0.176 Na
```

=====

[3]
NaLiSnRh: relaxed, PBE.

## Properties
DFT total energy: -3.92 eV/atom
SG: No. 216
Energy of formation from the pure elements: -0.271 eV per atom

Structure (POSCAR):
```
NaLiSnRh
1.0
4.619 0.000 0.000
2.309 4.000 0.000
2.309 1.333 3.771
Li Na Rh Sn
1 1 1 1
Direct
0.500 0.500 0.500 Li
0.750 0.750 0.750 Na
0.000 0.000 0.000 Rh
0.250 0.250 0.250 Sn
```

=====

[4]
LiY2Be3Cu12: relaxed, PBE.

## Properties
DFT total energy: -3.86 eV/atom
SG: No. 166
Energy of formation from the pure elements: 0.312 eV per atom

Structure (POSCAR):
```
LiY2Be3Cu12
1.0
7.038 -0.329 -0.234
3.190 6.283 -0.234
3.190 1.857 6.007
Cu Be Y Li
12 3 2 1
Direct
0.872 0.872 0.377 Cu
0.872 0.377 0.872 Cu
0.667 0.667 0.104 Cu
0.128 0.128 0.623 Cu
0.128 0.623 0.128 Cu
0.377 0.872 0.872 Cu
0.896 0.333 0.333 Cu
0.333 0.333 0.896 Cu
0.667 0.104 0.667 Cu
0.104 0.667 0.667 Cu
0.623 0.128 0.128 Cu
0.333 0.896 0.333 Cu
0.500 0.000 0.000 Be
0.000 0.500 0.000 Be
0.000 0.000 0.500 Be
0.395 0.395 0.395 Y
0.605 0.605 0.605 Y
0.000 0.000 0.000 Li
```

=====

[5]
CuPbCO2: relaxed, PBE.

## Properties
Relative energy among the computed polymorphs: 0.573 eV/atom
DFT total energy: -4.21 eV/atom
SG: No. 123

Structure (POSCAR):
```
CuPbCO2
1.0
-2.725 1.810 1.475
-3.253 -2.117 -3.412
-0.591 -2.727 2.256
Cu Pb C O
1 1 1 2
Direct
0.500 0.500 0.500 Cu
0.000 0.500 0.000 Pb
0.000 0.000 0.000 C
0.500 0.000 0.000 O
0.000 0.000 0.500 O
```

=====

[6]
In2S2Br: relaxed, PBE.

## Properties
Relative energy among the computed polymorphs: 0.418 eV/atom
DFT total energy: -3.17 eV/atom
SG: No. 127

Structure (POSCAR):
```
In2S2Br
1.0
7.986 0.000 0.000
0.000 7.986 0.000
0.000 0.000 3.541
In S Br
4 4 2
Direct
0.161 0.661 0.500 In
0.339 0.161 0.500 In
0.661 0.839 0.500 In
0.839 0.339 0.500 In
0.642 0.142 0.000 S
0.358 0.858 0.000 S
0.858 0.642 0.000 S
0.142 0.358 0.000 S
0.500 0.500 0.000 Br
0.000 0.000 0.000 Br
```

=====

[7]
Ce4ZnGa2: relaxed, PBE.

## Properties
DFT total energy: -4.55 eV/atom
SG: No. 166
Energy of formation from the pure elements: -0.110 eV per atom

Structure (POSCAR):
```
Ce4ZnGa2
1.0
-0.433 -4.262 -2.467
3.646 -1.515 -2.974
4.873 -6.298 5.074
Ga Ce Zn
2 4 1
Direct
0.091 0.091 0.727 Ga
0.909 0.909 0.273 Ga
0.798 0.798 0.605 Ce
0.622 0.622 0.134 Ce
0.378 0.378 0.866 Ce
0.202 0.202 0.395 Ce
0.000 0.000 0.000 Zn
```

=====

[8]
CeZn2Cu4: relaxed, PBE.

## Properties
DFT total energy: -3.75 eV/atom
SG: No. 139
Energy of formation from the pure elements: -0.196 eV per atom

Structure (POSCAR):
```
CeZn2Cu4
1.0
4.386 0.000 2.532
2.193 4.583 1.266
-0.098 0.000 5.236
Ce Zn Cu
1 2 4
Direct
0.000 0.000 0.000 Ce
0.250 0.500 0.500 Zn
0.750 0.500 0.500 Zn
0.310 0.000 0.381 Cu
0.310 0.381 0.000 Cu
0.690 0.000 0.619 Cu
0.690 0.619 0.000 Cu
```

=====

[9]
ZrHg4Mo: relaxed, PBE.

## Properties
DFT total energy: -2.93 eV/atom
SG: No. 216
Energy of formation from the pure elements: 0.503 eV per atom

Structure (POSCAR):
```
ZrHg4Mo
1.0
2.917 -4.226 -2.272
-2.098 -5.208 0.054
-1.752 -2.371 -4.779
Hg Zr Mo
4 1 1
Direct
0.874 0.375 0.375 Hg
0.375 0.375 0.375 Hg
0.375 0.375 0.874 Hg
0.375 0.874 0.375 Hg
0.000 0.000 0.000 Zr
0.750 0.750 0.750 Mo
```

=====

[10]
Ce2Dy2Sc7: relaxed, PBE.

## Properties
DFT total energy: -5.76 eV/atom
SG: No. 12
Energy of formation from the pure elements: 0.188 eV per atom

Structure (POSCAR):
```
Ce2Dy2Sc7
1.0
5.313 0.963 1.390
0.406 7.459 1.427
0.406 -1.284 7.485
Dy Sc Ce
2 7 2
Direct
0.500 0.210 0.790 Dy
0.500 0.790 0.210 Dy
0.589 0.773 0.773 Sc
0.823 0.948 0.410 Sc
0.823 0.410 0.948 Sc
0.177 0.590 0.052 Sc
0.177 0.052 0.590 Sc
0.411 0.227 0.227 Sc
0.000 0.000 0.000 Sc
0.833 0.431 0.431 Ce
0.167 0.569 0.569 Ce
```

=====

[11]
KTlAg2: relaxed, PBE.

## Properties
Relative energy among the computed polymorphs: 0.133 eV/atom
DFT total energy: -2.15 eV/atom
SG: No. 141
Energy of formation from the pure elements: 0.142 eV per atom

Structure (POSCAR):
```
KTlAg2
1.0
-3.900 -0.310 -3.793
3.468 -2.525 -3.360
-3.052 -10.143 0.053
Ag Tl K
4 2 2
Direct
0.375 0.125 0.750 Ag
0.875 0.125 0.750 Ag
0.875 0.625 0.250 Ag
0.875 0.125 0.250 Ag
0.750 0.250 0.500 Tl
0.000 0.000 0.000 Tl
0.500 0.500 0.000 K
0.250 0.750 0.500 K
```

=====

[12]
Y2In3Pd7: relaxed, PBE.

## Properties
DFT total energy: -5.33 eV/atom
SG: No. 65
Energy of formation from the pure elements: -0.542 eV per atom

Structure (POSCAR):
```
Y2In3Pd7
1.0
-4.433 0.769 -1.002
1.021 -0.290 -4.738
-2.442 -10.673 2.610
Pd In Y
7 3 2
Direct
0.000 0.000 0.000 Pd
0.500 0.069 0.140 Pd
0.000 0.429 0.857 Pd
0.500 0.786 0.572 Pd
0.000 0.571 0.143 Pd
0.500 0.214 0.428 Pd
0.500 0.931 0.860 Pd
0.500 0.500 0.000 In
0.000 0.141 0.282 In
0.000 0.859 0.718 In
0.500 0.653 0.306 Y
0.500 0.347 0.694 Y
```

=====

[13]
Ba7Sr16Ac6: relaxed, PBE.

## Properties
DFT total energy: -1.99 eV/atom
SG: No. 225
Energy of formation from the pure elements: 0.255 eV per atom

Structure (POSCAR):
```
Ba7Sr16Ac6
1.0
11.332 0.000 6.543
3.777 10.684 6.543
0.000 0.000 13.085
Sr Ba Ac
16 7 6
Direct
0.835 0.835 0.835 Sr
0.852 0.383 0.383 Sr
0.505 0.165 0.165 Sr
0.617 0.148 0.617 Sr
0.165 0.165 0.165 Sr
0.617 0.617 0.617 Sr
0.383 0.383 0.852 Sr
0.835 0.495 0.835 Sr
0.148 0.617 0.617 Sr
0.383 0.852 0.383 Sr
0.835 0.835 0.495 Sr
0.495 0.835 0.835 Sr
0.165 0.505 0.165 Sr
0.383 0.383 0.383 Sr
0.165 0.165 0.505 Sr
0.617 0.617 0.148 Sr
0.500 0.500 0.000 Ba
0.000 0.500 0.000 Ba
0.500 0.000 0.500 Ba
0.500 0.000 0.000 Ba
0.000 0.000 0.500 Ba
0.500 0.500 0.500 Ba
0.000 0.500 0.500 Ba
0.168 0.832 0.832 Ac
0.832 0.832 0.168 Ac
0.168 0.168 0.832 Ac
0.832 0.168 0.168 Ac
0.168 0.832 0.168 Ac
0.832 0.168 0.832 Ac
```

=====

[14]
Sm6ZnIr2I3: relaxed, PBE.

## Properties
DFT total energy: -5.16 eV/atom
SG: No. 12

Structure (POSCAR):
```
Sm6ZnIr2I3
1.0
7.290 0.002 0.000
-3.641 6.315 0.000
-1.216 -2.106 8.039
I Sm Ir Zn
3 6 2 1
Direct
0.500 0.500 0.500 I
0.164 0.836 0.500 I
0.836 0.164 0.500 I
0.289 0.289 0.812 Sm
0.711 0.711 0.188 Sm
0.937 0.585 0.811 Sm
0.585 0.937 0.811 Sm
0.415 0.063 0.189 Sm
0.063 0.415 0.189 Sm
0.333 0.667 0.000 Ir
0.667 0.333 0.000 Ir
0.000 0.000 0.000 Zn
```

=====

[15]
RbSnIr: relaxed, PBE.

## Properties
DFT total energy: -4.72 eV/atom
SG: No. 129
Energy of formation from the pure elements: -0.114 eV per atom

Structure (POSCAR):
```
RbSnIr
1.0
4.511 0.000 0.000
0.000 4.511 0.000
0.000 0.000 8.860
Ir Rb Sn
2 2 2
Direct
0.500 0.500 0.500 Ir
0.000 0.000 0.500 Ir
0.000 0.500 0.835 Rb
0.500 0.000 0.165 Rb
0.500 0.000 0.659 Sn
0.000 0.500 0.341 Sn
```

=====

[16]
CaBe2N: relaxed, PBE.

## Properties
DFT total energy: -4.46 eV/atom
SG: No. 227

Structure (POSCAR):
```
CaBe2N
1.0
-1.408 1.969 4.934
4.075 -2.874 2.310
3.744 2.554 3.110
N Be Ca
2 4 2
Direct
0.250 0.750 0.500 N
0.500 0.500 0.000 N
0.375 0.625 0.250 Be
0.375 0.625 0.750 Be
0.875 0.625 0.750 Be
0.375 0.125 0.250 Be
0.750 0.250 0.500 Ca
0.000 0.000 0.000 Ca
```

=====

[17]
Dy2TmHf: relaxed, PBE.

## Properties
Relative energy among the computed polymorphs: 0.000 eV/atom
DFT total energy: -5.80 eV/atom
SG: No. 160
Energy of formation from the pure elements: 0.109 eV per atom

Structure (POSCAR):
```
Dy2TmHf
1.0
3.426 0.000 0.000
1.713 2.967 0.000
1.714 0.989 11.110
Hf Dy Tm
1 2 1
Direct
0.667 0.667 0.000 Hf
0.254 0.254 0.236 Dy
0.079 0.079 0.764 Dy
0.500 0.500 0.500 Tm
```

=====

[18]
Tb3Pm2Sm6Sc: relaxed, PBE.

## Properties
DFT total energy: -4.81 eV/atom
SG: No. 12
Energy of formation from the pure elements: 0.024 eV per atom

Structure (POSCAR):
```
Tb3Pm2Sm6Sc
1.0
-3.385 2.466 -4.588
1.129 -6.108 0.089
-8.976 -0.493 7.760
Sm Tb Pm Sc
6 3 2 1
Direct
0.412 0.083 0.249 Sm
0.588 0.917 0.751 Sm
0.753 0.753 0.250 Sm
0.247 0.247 0.750 Sm
0.917 0.588 0.751 Sm
0.083 0.412 0.249 Sm
0.166 0.834 0.500 Tb
0.834 0.166 0.500 Tb
0.500 0.500 0.500 Tb
0.667 0.333 0.000 Pm
0.333 0.667 0.000 Pm
0.000 0.000 0.000 Sc
```

=====

[19]
Ac2Al4ZnGe3: relaxed, PBE.

## Properties
DFT total energy: -4.17 eV/atom
SG: No. 115
Energy of formation from the pure elements: -0.337 eV per atom

Structure (POSCAR):
```
Ac2Al4ZnGe3
1.0
-0.444 4.193 -1.566
-4.179 0.175 1.655
3.892 3.928 9.414
Ge Ac Al Zn
3 2 4 1
Direct
0.500 0.000 0.871 Ge
0.000 0.500 0.129 Ge
0.000 0.000 0.500 Ge
0.500 0.000 0.256 Ac
0.000 0.500 0.744 Ac
0.000 0.500 0.375 Al
0.500 0.000 0.625 Al
0.000 0.000 0.000 Al
0.500 0.500 0.000 Al
0.500 0.500 0.500 Zn
```

=====

[20]
NaTlIn4: relaxed, PBE.

## Properties
Relative energy among the computed polymorphs: 0.026 eV/atom
DFT total energy: -2.47 eV/atom
SG: No. 216
Energy of formation from the pure elements: -0.027 eV per atom

Structure (POSCAR):
```
NaTlIn4
1.0
-0.506 -0.820 6.194
-4.991 -2.959 2.372
0.632 -5.728 2.466
In Tl Na
4 1 1
Direct
0.125 0.625 0.625 In
0.625 0.625 0.125 In
0.625 0.125 0.625 In
0.625 0.625 0.625 In
0.000 0.000 0.000 Tl
0.250 0.250 0.250 Na
```